This record from Alexandria via LeMat-Bulk describes a relaxed structure of SmEr2P3. The functional is GGA-PBE.

abc: 4.018 5.682 12.040
angles: 90.00 90.00 90.00
Positions (direct):
Sm1 0.000 0.000 0.000
Sm2 0.500 0.500 0.500
Er1 0.000 0.000 0.334
Er2 0.000 0.000 0.666
Er3 0.500 0.500 0.166
Er4 0.500 0.500 0.834
P1 0.000 0.500 0.000
P2 0.000 0.500 0.329
P3 0.000 0.500 0.671
P4 0.500 0.000 0.171
P5 0.500 0.000 0.500
P6 0.500 0.000 0.829

## Properties
- symmetry = Immm (71)
- total magnetization (μB/atom) = 0.000
- DOS(E_F) (states/eV/atom) = 0.1387
- total DFT energy (no corrections) (eV per cell) = -79.2
- theoretical density (g/cm³) = 7.0